DFT (GGA+U) results for crystalline RbTlCr2O8 at its relaxed geometry.

Summary:
Calculated total energy   -72.566 eV per cell

a = 5.4427 Å, b = 5.4427 Å, c = 8.3743 Å
α = 90.00°, β = 90.00°, γ = 120.00°
Positions (direct):
Rb (0.0000, 0.0000, 0.0000)
Tl (0.0000, 0.0000, 0.5000)
Cr (0.3333, 0.6667, 0.7306)
Cr (0.6667, 0.3333, 0.2694)
O (0.0684, 0.3505, 0.6688)
O (0.2821, 0.9316, 0.6688)
O (0.3333, 0.6667, 0.9249)
O (0.3505, 0.2821, 0.3312)
O (0.6495, 0.7179, 0.6688)
O (0.6667, 0.3333, 0.0751)
O (0.7179, 0.0684, 0.3312)
O (0.9316, 0.6495, 0.3312)

DFT (GGA+U) results for crystalline Rb2TlCrO4 at its relaxed geometry.

Summary:
Calculated total energy   -42.736 eV per cell

a = 6.0741 Å, b = 6.0741 Å, c = 6.0741 Å
α = 113.09°, β = 113.09°, γ = 102.45°
Positions (direct):
Rb (0.0000, 0.0000, 0.0000)
Rb (0.7500, 0.2500, 0.5000)
Tl (0.5000, 0.5000, 0.0000)
Cr (0.2500, 0.7500, 0.5000)
O (0.2313, 0.0379, 0.5186)
O (0.2874, 0.7687, 0.8066)
O (0.5193, 0.7126, 0.4814)
O (0.9621, 0.4807, 0.1934)

DFT (GGA+U) results for crystalline RbTmCrO4 at its relaxed geometry.

Summary:
Calculated total energy   -97.697 eV per cell

a = 5.7924 Å, b = 5.8746 Å, c = 7.7026 Å
α = 90.00°, β = 108.86°, γ = 90.00°
Positions (direct):
Rb (0.2018, 0.2500, 0.4367)
Rb (0.7982, 0.7500, 0.5633)
Tm (0.3123, 0.2500, 0.9618)
Tm (0.6877, 0.7500, 0.0382)
Cr (0.2299, 0.7500, 0.1543)
Cr (0.7701, 0.2500, 0.8457)
O (0.0151, 0.7500, 0.9335)
O (0.0355, 0.7500, 0.2915)
O (0.4573, 0.5244, 0.1664)
O (0.4573, 0.9756, 0.1664)
O (0.5427, 0.0244, 0.8336)
O (0.5427, 0.4756, 0.8336)
O (0.9645, 0.2500, 0.7085)
O (0.9849, 0.2500, 0.0665)

DFT (GGA+U) results for crystalline Rb2TmCrO6 at its relaxed geometry.

Summary:
Calculated total energy   -59.956 eV per cell

a = 6.3948 Å, b = 6.3948 Å, c = 5.5875 Å
α = 90.00°, β = 90.00°, γ = 120.00°
Positions (direct):
Rb (0.3333, 0.6667, 0.1285)
Rb (0.6667, 0.3333, 0.8715)
Tm (0.0000, 0.0000, 0.5000)
Cr (0.0000, 0.0000, 0.0000)
O (0.1328, 0.2656, 0.7987)
O (0.1328, 0.8672, 0.7987)
O (0.2656, 0.1328, 0.2013)
O (0.7344, 0.8672, 0.7987)
O (0.8672, 0.1328, 0.2013)
O (0.8672, 0.7344, 0.2013)

DFT (GGA+U) results for crystalline RbU2CrO8 at its relaxed geometry.

Summary:
Calculated total energy   -101.244 eV per cell

a = 5.0393 Å, b = 5.0431 Å, c = 7.1694 Å
α = 87.17°, β = 87.12°, γ = 85.48°
Positions (direct):
Rb (0.0000, 0.0000, 0.0000)
U (0.4844, 0.4842, 0.2591)
U (0.5156, 0.5158, 0.7409)
Cr (0.0000, 0.0000, 0.5000)
O (0.2084, 0.7783, 0.6940)
O (0.2238, 0.7933, 0.3057)
O (0.2952, 0.2969, 0.4826)
O (0.3419, 0.3459, 0.9693)
O (0.6581, 0.6541, 0.0307)
O (0.7048, 0.7031, 0.5174)
O (0.7762, 0.2067, 0.6943)
O (0.7916, 0.2217, 0.3060)

DFT (GGA+U) results for crystalline Rb2U3CrO12 at its relaxed geometry.

Summary:
Calculated total energy   -150.818 eV per cell

a = 7.4856 Å, b = 7.4856 Å, c = 7.4856 Å
α = 63.58°, β = 63.58°, γ = 63.58°
Positions (direct):
Rb (0.1308, 0.1308, 0.1308)
Rb (0.8692, 0.8692, 0.8692)
U (0.0000, 0.5000, 0.5000)
U (0.5000, 0.0000, 0.5000)
U (0.5000, 0.5000, 0.0000)
Cr (0.5000, 0.5000, 0.5000)
O (0.1754, 0.1754, 0.5584)
O (0.1754, 0.5584, 0.1754)
O (0.2046, 0.5562, 0.5562)
O (0.4416, 0.8246, 0.8246)
O (0.4438, 0.4438, 0.7954)
O (0.4438, 0.7954, 0.4438)
O (0.5562, 0.2046, 0.5562)
O (0.5562, 0.5562, 0.2046)
O (0.5584, 0.1754, 0.1754)
O (0.7954, 0.4438, 0.4438)
O (0.8246, 0.4416, 0.8246)
O (0.8246, 0.8246, 0.4416)

DFT (GGA+U) results for crystalline Rb2UCrO6 at its relaxed geometry.

Summary:
Calculated total energy   -72.530 eV per cell

a = 5.8422 Å, b = 5.8422 Å, c = 5.8422 Å
α = 120.31°, β = 120.31°, γ = 89.47°
Positions (direct):
Rb (0.2500, 0.7500, 0.5000)
Rb (0.7500, 0.2500, 0.5000)
U (0.0000, 0.0000, 0.0000)
Cr (0.5000, 0.5000, 0.0000)
O (0.2452, 0.2452, 0.0000)
O (0.2623, 0.2623, 0.5246)
O (0.2623, 0.7377, 0.0000)
O (0.7377, 0.2623, 0.0000)
O (0.7377, 0.7377, 0.4754)
O (0.7548, 0.7548, 0.0000)

DFT (GGA+U) results for crystalline Rb3V2CrO8 at its relaxed geometry.

Summary:
Calculated total energy   -92.495 eV per cell

a = 5.7946 Å, b = 5.7946 Å, c = 7.9360 Å
α = 90.00°, β = 90.00°, γ = 120.00°
Positions (direct):
Rb (0.0000, 0.0000, 0.0000)
Rb (0.3333, 0.6667, 0.7211)
Rb (0.6667, 0.3333, 0.2789)
V (0.3333, 0.6667, 0.2844)
V (0.6667, 0.3333, 0.7156)
Cr (0.0000, 0.0000, 0.5000)
O (0.1661, 0.3321, 0.3532)
O (0.1661, 0.8339, 0.3532)
O (0.3321, 0.1661, 0.6468)
O (0.3333, 0.6667, 0.0713)
O (0.6667, 0.3333, 0.9287)
O (0.6679, 0.8339, 0.3532)
O (0.8339, 0.1661, 0.6468)
O (0.8339, 0.6679, 0.6468)

DFT (GGA+U) results for crystalline RbVCrO4 at its relaxed geometry.

Summary:
Calculated total energy   -96.421 eV per cell

a = 5.4270 Å, b = 5.8742 Å, c = 7.4393 Å
α = 90.00°, β = 101.73°, γ = 90.00°
Positions (direct):
Rb (0.1488, 0.2500, 0.1023)
Rb (0.8512, 0.7500, 0.8977)
V (0.3585, 0.2500, 0.6596)
V (0.6415, 0.7500, 0.3404)
Cr (0.1900, 0.7500, 0.4607)
Cr (0.8100, 0.2500, 0.5393)
O (0.1632, 0.0178, 0.6804)
O (0.1632, 0.4822, 0.6804)
O (0.3317, 0.7500, 0.2091)
O (0.4294, 0.2500, 0.4421)
O (0.5706, 0.7500, 0.5579)
O (0.6683, 0.2500, 0.7909)
O (0.8368, 0.5178, 0.3196)
O (0.8368, 0.9822, 0.3196)

DFT (GGA+U) results for crystalline Rb2VCrO5 at its relaxed geometry.

Summary:
Calculated total energy   -113.342 eV per cell

a = 7.8598 Å, b = 7.8598 Å, c = 12.3312 Å
α = 90.00°, β = 90.00°, γ = 156.53°
Positions (direct):
Rb (0.1062, 0.8938, 0.5000)
Rb (0.1478, 0.8522, 0.1360)
Rb (0.8522, 0.1478, 0.6360)
Rb (0.8938, 0.1062, 0.0000)
V (0.4394, 0.5606, 0.2779)
V (0.5606, 0.4394, 0.7779)
Cr (0.2181, 0.7819, 0.8600)
Cr (0.7819, 0.2181, 0.3600)
O (0.0564, 0.9436, 0.8596)
O (0.2864, 0.7136, 0.4551)
O (0.3189, 0.6811, 0.2561)
O (0.3274, 0.6726, 0.8285)
O (0.4884, 0.5116, 0.1549)
O (0.5116, 0.4884, 0.6549)
O (0.6726, 0.3274, 0.3285)
O (0.6811, 0.3189, 0.7561)
O (0.7136, 0.2864, 0.9551)
O (0.9436, 0.0564, 0.3596)

DFT (GGA+U) results for crystalline RbVCr2O8 at its relaxed geometry.

Summary:
Calculated total energy   -81.770 eV per cell

a = 5.3144 Å, b = 5.3144 Å, c = 8.1715 Å
α = 93.08°, β = 93.08°, γ = 62.94°
Positions (direct):
Rb (0.0000, 0.0000, 0.0000)
V (0.0000, 0.0000, 0.5000)
Cr (0.3662, 0.3662, 0.6996)
Cr (0.6338, 0.6338, 0.3004)
O (0.2192, 0.2192, 0.5690)
O (0.2190, 0.7200, 0.6703)
O (0.2800, 0.7810, 0.3297)
O (0.3181, 0.3181, 0.8879)
O (0.6819, 0.6819, 0.1121)
O (0.7200, 0.2190, 0.6703)
O (0.7810, 0.2800, 0.3297)
O (0.7808, 0.7808, 0.4310)

DFT (GGA+U) results for crystalline Rb2Y2CrO6 at its relaxed geometry.

Summary:
Calculated total energy   -78.117 eV per cell

a = 5.7127 Å, b = 5.7127 Å, c = 6.8733 Å
α = 97.69°, β = 97.69°, γ = 119.01°
Positions (direct):
Rb (0.1649, 0.8351, 0.0000)
Rb (0.8351, 0.1649, 0.0000)
Y (0.3359, 0.6641, 0.5000)
Y (0.6641, 0.3359, 0.5000)
Cr (0.0000, 0.0000, 0.5000)
O (0.0476, 0.3435, 0.6594)
O (0.2493, 0.2493, 0.3338)
O (0.3435, 0.0476, 0.6594)
O (0.6565, 0.9524, 0.3406)
O (0.7507, 0.7507, 0.6662)
O (0.9524, 0.6565, 0.3406)

DFT (GGA+U) results for crystalline Rb3Y3CrO8 at its relaxed geometry.

Summary:
Calculated total energy   -106.109 eV per cell

a = 6.7805 Å, b = 6.7805 Å, c = 7.6537 Å
α = 116.13°, β = 116.13°, γ = 59.46°
Positions (direct):
Rb (0.0000, 0.0000, 0.0000)
Rb (0.0000, 0.5000, 0.0000)
Rb (0.5000, 0.0000, 0.0000)
Y (0.0000, 0.5000, 0.5000)
Y (0.5000, 0.0000, 0.5000)
Y (0.5000, 0.5000, 0.5000)
Cr (0.0000, 0.0000, 0.5000)
O (0.1991, 0.7608, 0.6599)
O (0.2077, 0.2077, 0.6647)
O (0.2392, 0.8009, 0.3401)
O (0.2773, 0.2773, 0.3269)
O (0.7227, 0.7227, 0.6731)
O (0.7608, 0.1991, 0.6599)
O (0.7923, 0.7923, 0.3353)
O (0.8009, 0.2392, 0.3401)

DFT (GGA+U) results for crystalline RbZnCrO4 at its relaxed geometry.

Summary:
Calculated total energy   -79.503 eV per cell

a = 5.1874 Å, b = 5.8275 Å, c = 7.8818 Å
α = 90.00°, β = 104.04°, γ = 90.00°
Positions (direct):
Rb (0.1997, 0.2500, 0.1313)
Rb (0.8003, 0.7500, 0.8687)
Zn (0.1419, 0.7500, 0.5113)
Zn (0.8581, 0.2500, 0.4887)
Cr (0.3692, 0.2500, 0.6955)
Cr (0.6308, 0.7500, 0.3045)
O (0.1295, 0.0233, 0.6728)
O (0.1295, 0.4767, 0.6728)
O (0.4165, 0.7500, 0.1099)
O (0.4904, 0.2500, 0.5132)
O (0.5096, 0.7500, 0.4868)
O (0.5835, 0.2500, 0.8901)
O (0.8705, 0.5233, 0.3272)
O (0.8705, 0.9767, 0.3272)

DFT (GGA+U) results for crystalline RbZn2Cr2O6 at its relaxed geometry.

Summary:
Calculated total energy   -63.116 eV per cell

a = 5.5341 Å, b = 5.5342 Å, c = 5.5739 Å
α = 96.57°, β = 96.71°, γ = 118.83°
Positions (direct):
Rb (0.0000, 0.0000, 0.0000)
Zn (0.3482, 0.6554, 0.4998)
Zn (0.6518, 0.3446, 0.5002)
Cr (0.3274, 0.6716, 0.9997)
Cr (0.6726, 0.3284, 0.0003)
O (0.0593, 0.6021, 0.2214)
O (0.3980, 0.9410, 0.7782)
O (0.4940, 0.4943, 0.2319)
O (0.5060, 0.5057, 0.7681)
O (0.6020, 0.0590, 0.2218)
O (0.9407, 0.3979, 0.7786)

DFT (GGA+U) results for crystalline RbZrCr2O8 at its relaxed geometry.

Summary:
Calculated total energy   -86.549 eV per cell

a = 5.5529 Å, b = 5.5529 Å, c = 8.2238 Å
α = 91.73°, β = 91.73°, γ = 62.27°
Positions (direct):
Rb (0.0000, 0.0000, 0.0000)
Zr (0.0000, 0.0000, 0.5000)
Cr (0.3561, 0.3561, 0.7152)
Cr (0.6439, 0.6439, 0.2848)
O (0.2057, 0.6985, 0.6745)
O (0.2090, 0.2090, 0.5920)
O (0.3015, 0.7943, 0.3255)
O (0.3209, 0.3209, 0.9075)
O (0.6791, 0.6791, 0.0925)
O (0.6985, 0.2057, 0.6745)
O (0.7910, 0.7910, 0.4080)
O (0.7943, 0.3015, 0.3255)

DFT (GGA+U) results for crystalline CrReO2 at its relaxed geometry.

Summary:
Energy relative to the lowest polymorph listed for this composition   1.864 eV/atom

a = 3.8307 Å, b = 3.8307 Å, c = 3.8307 Å
α = 60.00°, β = 60.00°, γ = 60.00°
Positions (direct):
Cr (0.0000, 0.0000, 0.0000)
Re (0.5000, 0.5000, 0.5000)
O (0.2500, 0.2500, 0.2500)
O (0.7500, 0.7500, 0.7500)

DFT (GGA+U) results for crystalline CrReO4 at its relaxed geometry.

Summary:
Energy relative to the lowest polymorph listed for this composition   0.000 eV/atom

a = 5.5225 Å, b = 5.5225 Å, c = 4.7516 Å
α = 91.96°, β = 91.96°, γ = 63.12°
Positions (direct):
Cr (0.2366, 0.2366, 0.0074)
Cr (0.7634, 0.7634, 0.9926)
Re (0.2779, 0.7221, 0.5000)
Re (0.7221, 0.2779, 0.5000)
O (0.0914, 0.0914, 0.3170)
O (0.1162, 0.5935, 0.2023)
O (0.3840, 0.3840, 0.7128)
O (0.4065, 0.8838, 0.7977)
O (0.5935, 0.1162, 0.2023)
O (0.6160, 0.6160, 0.2872)
O (0.8838, 0.4065, 0.7977)
O (0.9086, 0.9086, 0.6830)

DFT (GGA+U) results for crystalline CrReO4 at its relaxed geometry.

Summary:
Energy relative to the lowest polymorph listed for this composition   0.018 eV/atom

a = 5.5647 Å, b = 5.5647 Å, c = 5.5647 Å
α = 117.42°, β = 107.74°, γ = 103.58°
Positions (direct):
Cr (0.0000, 0.0000, 0.0000)
Cr (0.0000, 0.5000, 0.5000)
Re (0.5000, 0.2736, 0.7736)
Re (0.5000, 0.7264, 0.2264)
O (0.2063, 0.2576, 0.4640)
O (0.2063, 0.7424, 0.9487)
O (0.2826, 0.2826, 0.0000)
O (0.3159, 0.8159, 0.5000)
O (0.6841, 0.1841, 0.5000)
O (0.7174, 0.7174, 0.0000)
O (0.7937, 0.2576, 0.0513)
O (0.7937, 0.7424, 0.5360)

DFT (GGA+U) results for crystalline CrRe2O at its relaxed geometry.

Summary:
Calculated total energy   -70.846 eV per cell

a = 5.3659 Å, b = 5.3659 Å, c = 5.3659 Å
α = 100.96°, β = 100.96°, γ = 128.30°
Positions (direct):
Cr (0.0000, 0.0000, 0.0000)
Cr (0.7500, 0.2500, 0.5000)
Re (0.2188, 0.1250, 0.5938)
Re (0.3750, 0.7812, 0.9062)
Re (0.5312, 0.6250, 0.4062)
Re (0.8750, 0.4688, 0.0938)
O (0.2500, 0.7500, 0.5000)
O (0.5000, 0.5000, 0.0000)

Record order is preserved below.
Total magnetic moment: 0.00, 0.12, 0.29, 0.10, 0.25, 0.11, 0.19, 0.21, 0.57, 0.33, 0.17, 0.18, 0.13, 0.14, 0.45, 0.08, 0.00, 0.46, 0.48, 0.77 μB per atom